# PBE LiPmBRh2, optimized geometry
data_LiPmBRh2
_chemical_formula_sum 'Li1 Pm1 B1 Rh2'
_cell_length_a 4.229
_cell_length_b 4.229
_cell_length_c 4.301
_cell_angle_alpha 90.00
_cell_angle_beta 90.00
_cell_angle_gamma 90.00
_space_group_name_H-M_alt 'P 4/m m m'
_space_group_IT_number 123
_space_group_name_Hall '-P 4 2'
loop_
_atom_site_label
_atom_site_type_symbol
_atom_site_fract_x
_atom_site_fract_y
_atom_site_fract_z
Li1 Li 0.000 0.000 0.000
Pm1 Pm 0.500 0.500 0.000
B1 B 0.000 0.000 0.500
Rh1 Rh 0.000 0.500 0.500
# - DOS(E_F) (states/eV/cell) = 1.24
# - final energy (eV for the cell shown) = -30.80
# - energy of formation (eV per atom) = -0.55